Material: Mg2CuMo
Method: DFT, GGA-PBE
State: optimized geometry

Cell: 4.496 2.725 5.532 Å, 78.43 90.00 90.00°
Fractional positions:
Cu 0.500 0.779 0.732
Mg 0.000 0.948 0.988
Mo 0.000 0.542 0.513
Mg 0.500 0.231 0.266

Properties
The calculation puts the offset from the most stable computed form at 143.7 meV/atom. The total magnetic moment comes out at 0.00 μB per cell. The calculation puts the total energy at -16.91 eV/cell.